A plane-wave DFT calculation with meta-GGA SCAN was carried out for a crystal of MoOs3F relaxed with PBEsol.

Calculated values
ρ ... 16.1 g/cm3
Energy relative to the elements, uncorrected ... 1595 meV per atom
V ... 14.12 Å³/atom

Unit cell a=4.1333 b=4.1333 c=4.1333 alpha=90.00 beta=90.00 gamma=90.00
Last column: magnetic moment on the atom in μB.
Positions (direct):
Os1 0.0000 0.5000 0.0000  -0.02
Os2 0.0000 0.0000 0.5000  -0.02
Os3 0.5000 0.0000 0.0000  -0.02
F1 0.0000 0.0000 0.0000  0.03
Mo1 0.5000 0.5000 0.5000  1.05

=====

A plane-wave DFT calculation with meta-GGA SCAN was carried out for a crystal of TcTeCl2 relaxed with PBEsol.

Calculated values
ρ ... 6.1 g/cm3
Energy relative to the elements, uncorrected ... 611 meV per atom
V ... 20.23 Å³/atom
ΔE to the lowest computed polymorph ... 0.563 eV/atom

Unit cell a=3.0957 b=5.2966 c=5.2966 alpha=111.28 beta=90.00 gamma=90.00
Last column: magnetic moment on the atom in μB.
Positions (direct):
Tc1 0.5000 0.0000 0.0000  3.62
Cl1 0.0000 0.0000 0.5000  0.06
Cl2 0.0000 0.5000 0.0000  0.06
Te1 0.5000 0.5000 0.5000  -0.03

=====

A plane-wave DFT calculation with meta-GGA SCAN was carried out for a crystal of AlSb2Au2 relaxed with PBEsol.

Calculated values
ρ ... 9.3 g/cm3
Energy relative to the elements, uncorrected ... 266 meV per atom
V ... 23.73 Å³/atom

Unit cell a=4.3477 b=4.3477 c=6.9900 alpha=108.12 beta=108.12 gamma=90.00
Positions (direct):
Au1 0.3966 0.3966 0.7931
Au2 0.6034 0.6034 0.2069
Al1 0.0000 0.0000 0.0000
Sb1 0.7500 0.2500 0.5000
Sb2 0.2500 0.7500 0.5000

=====

A plane-wave DFT calculation with meta-GGA SCAN was carried out for a crystal of TlGe3C relaxed with PBEsol.

Calculated values
ρ ... 8.2 g/cm3
V ... 17.53 Å³/atom
Formation enthalpy at 0 K ... 1.04 eV/atom

Unit cell a=4.4422 b=4.4422 c=4.4422 alpha=90.00 beta=90.00 gamma=90.00
Positions (direct):
C1 0.0000 0.0000 0.0000
Ge1 0.0000 0.0000 0.5000
Ge2 0.0000 0.5000 0.0000
Ge3 0.5000 0.0000 0.0000
Tl1 0.5000 0.5000 0.5000

=====

Q: Which size of the total moment values were calculated for the entries above? A: 1.06, 4.02, 0.00, 0.00, in μB per cell.